# 1
The following is a DFT calculation (SCAN) of Mn2BeZn at its PBEsol-relaxed geometry.

Cell: 4.594 4.594 4.594 Å, 144.71 131.60 61.30°
Atoms (fractional coordinates):
Mn 0.241 0.241 0.000
Mn 0.759 0.759 0.000
Be 0.000 0.500 0.500
Zn 0.500 0.000 0.500

Results
Energy   -54.102 eV for the cell shown
V   10.4 A^3/atom
Relative energy among the computed polymorphs   230 meV per atom
DFT formation energy   0.069 eV per atom
Crystal system   orthorhombic

=====

# 2
The following is a DFT calculation (SCAN) of ZrMn2Be at its PBEsol-relaxed geometry.

Cell: 4.282 4.282 4.464 Å, 102.60 102.60 40.90°
Atoms (fractional coordinates):
Zr 0.000 0.000 0.000
Mn 0.235 0.235 0.662
Mn 0.765 0.765 0.338
Be 0.500 0.500 0.500

Results
Energy   -70.993 eV for the cell shown
V   13.0 A^3/atom
DFT formation energy   0.142 eV per atom
Crystal system   monoclinic

=====

# 3
The following is a DFT calculation (SCAN) of ZrMn4Be at its PBEsol-relaxed geometry.

Cell: 4.692 4.692 4.692 Å, 60.00 60.00 60.00°
Atoms (fractional coordinates):
Zr 0.000 0.000 0.000
Mn 0.130 0.623 0.623
Mn 0.623 0.130 0.623
Mn 0.623 0.623 0.130
Mn 0.623 0.623 0.623
Be 0.250 0.250 0.250

Results
Energy   -107.478 eV for the cell shown
V   12.2 A^3/atom
DFT formation energy   0.099 eV per atom
Crystal system   cubic

=====

# 4
The following is a DFT calculation (SCAN) of ZrMn2Be at its PBEsol-relaxed geometry.

Cell: 4.559 4.559 4.559 Å, 130.60 130.60 72.45°
Atoms (fractional coordinates):
Zr 0.000 0.000 0.000
Mn 0.250 0.750 0.500
Mn 0.750 0.250 0.500
Be 0.500 0.500 0.000

Results
Energy   -71.746 eV for the cell shown
V   13.3 A^3/atom
DFT formation energy   -0.046 eV per atom
Crystal system   tetragonal

=====

# 5
The following is a DFT calculation (SCAN) of ZrMn2Be at its PBEsol-relaxed geometry.

Cell: 2.882 3.809 4.745 Å, 90.00 102.67 90.00°
Atoms (fractional coordinates):
Zr 0.000 0.000 0.000
Mn 0.265 0.500 0.621
Mn 0.555 0.000 0.496
Be 0.602 0.500 0.235

Results
Energy   -71.039 eV for the cell shown
V   12.7 A^3/atom
DFT formation energy   0.131 eV per atom
Crystal system   monoclinic

=====

# 6
The following is a DFT calculation (SCAN) of BeMo2 at its PBEsol-relaxed geometry.

Cell: 4.668 4.668 7.522 Å, 114.27 114.27 32.12°
Atoms (fractional coordinates):
Be 0.200 0.200 0.080
Be 0.800 0.800 0.920
Mo 0.160 0.160 0.601
Mo 0.481 0.481 0.796
Mo 0.519 0.519 0.204
Mo 0.840 0.840 0.399

Results
Energy   -147.222 eV for the cell shown
V   13.1 A^3/atom
Relative energy among the computed polymorphs   256 meV per atom
DFT formation energy   0.171 eV per atom
Crystal system   monoclinic